(1)
The following is a DFT calculation (PBE) of a relaxed structure of Ba2SiAs.

POSCAR file:
```
Ba2SiAs
1.0
3.823 0.000 0.000
0.000 5.593 0.000
0.000 0.000 6.753
Ba Si As
2 1 1
Cartesian
0.000 0.000 5.909
1.911 2.797 2.533
0.000 0.000 2.534
1.911 2.797 5.908
```

**Raw total energy**: -3.748 eV/atom
**Polymorph energy (0 for the lowest one)**: 381 meV/atom
**SG**: No. 47
**Spin magnetization**: 0.00 Bohr magnetons per cell
**E_form (uncorrected)**: -268.9 meV/atom
**DOS at the Fermi energy**: 0.95 states/eV/atom

(2)
The following is a DFT calculation (PBE) of a relaxed structure of BaSiAs4.

POSCAR file:
```
BaSiAs4
1.0
5.845 0.111 0.558
2.446 -0.265 5.333
2.882 -4.836 1.672
Ba As Si
1 4 1
Cartesian
8.380 -3.742 5.672
7.255 -1.752 3.053
4.059 -1.813 2.748
5.397 -1.958 5.663
5.635 -4.457 3.662
0.000 0.000 0.000
```

**Raw total energy**: -4.258 eV/atom
**Polymorph energy (0 for the lowest one)**: 290 meV/atom
**SG**: No. 216
**Spin magnetization**: 0.00 Bohr magnetons per cell
**E_form (uncorrected)**: 66.0 meV/atom
**DOS at the Fermi energy**: 0.46 states/eV/atom

(3)
The following is a DFT calculation (PBE) of a relaxed structure of Ba2SiAs.

POSCAR file:
```
Ba2SiAs
1.0
-3.929 3.475 -7.196
-7.650 -3.952 2.269
-6.712 2.632 -0.574
Ba Si As
4 2 2
Cartesian
-9.274 1.847 -2.308
-15.266 1.504 -4.711
-6.898 -1.424 0.470
-5.142 2.382 -4.452
-10.075 -0.779 -0.384
-5.789 -0.239 -2.463
0.000 0.000 0.000
-8.215 2.934 -5.116
```

**Raw total energy**: -3.656 eV/atom
**Polymorph energy (0 for the lowest one)**: 474 meV/atom
**SG**: No. 122
**Spin magnetization**: 0.00 Bohr magnetons per cell
**E_form (uncorrected)**: -176.0 meV/atom
**DOS at the Fermi energy**: 0.90 states/eV/atom

(4)
The following is a DFT calculation (PBE) of a relaxed structure of BaSiAs2.

POSCAR file:
```
BaSiAs2
1.0
-0.424 2.632 -2.808
-2.885 -2.087 -1.520
-4.394 3.323 3.779
Si As Ba
1 2 1
Cartesian
-5.371 3.083 1.032
-2.521 0.928 -1.419
-4.261 3.222 3.664
-2.141 1.619 1.841
```

**Raw total energy**: -4.295 eV/atom
**SG**: No. 99
**Spin magnetization**: 0.00 Bohr magnetons per cell
**E_form (uncorrected)**: -134.1 meV/atom
**DOS at the Fermi energy**: 0.73 states/eV/atom